(1)
## ScGe2Ir (PBE-GGA)

Data for crystalline ScGe2Ir at its relaxed geometry.

* space-group type: F-43m
* VASP energy: -6.50 eV/atom

Geometry as CIF:
```
data_ScGe2Ir
_cell_length_a 4.5745
_cell_length_b 4.5745
_cell_length_c 4.5745
_cell_angle_alpha 60.00
_cell_angle_beta 60.00
_cell_angle_gamma 60.00
_symmetry_space_group_name_H-M 'P 1'
_symmetry_Int_Tables_number 1
loop_
_symmetry_equiv_pos_as_xyz
'x,y,z'
loop_
_atom_site_label
_atom_site_type_symbol
_atom_site_fract_x
_atom_site_fract_y
_atom_site_fract_z
Ge1 Ge 0.0000 0.0000 0.0000
Ir1 Ir 0.5000 0.5000 0.5000
Ge2 Ge 0.2500 0.2500 0.2500
Sc1 Sc 0.7500 0.7500 0.7500
```

---

(2)
## ScGeIr (PBE-GGA)

Data for crystalline ScGeIr at its relaxed geometry.

* space-group type: F-43m
* VASP energy: -6.71 eV/atom

Geometry as CIF:
```
data_ScGeIr
_cell_length_a 4.3751
_cell_length_b 4.3751
_cell_length_c 4.3751
_cell_angle_alpha 60.00
_cell_angle_beta 60.00
_cell_angle_gamma 60.00
_symmetry_space_group_name_H-M 'P 1'
_symmetry_Int_Tables_number 1
loop_
_symmetry_equiv_pos_as_xyz
'x,y,z'
loop_
_atom_site_label
_atom_site_type_symbol
_atom_site_fract_x
_atom_site_fract_y
_atom_site_fract_z
Ir1 Ir 0.7500 0.7500 0.7500
Ge1 Ge 0.2500 0.2500 0.2500
Sc1 Sc 0.0000 0.0000 0.0000
```

---

(3)
## ScGeIr (PBE-GGA)

Data for crystalline ScGeIr at its relaxed geometry.

* space-group type: F-43m
* VASP energy: -7.28 eV/atom

Geometry as CIF:
```
data_ScGeIr
_cell_length_a 4.3386
_cell_length_b 4.3386
_cell_length_c 4.3386
_cell_angle_alpha 60.00
_cell_angle_beta 60.00
_cell_angle_gamma 60.00
_symmetry_space_group_name_H-M 'P 1'
_symmetry_Int_Tables_number 1
loop_
_symmetry_equiv_pos_as_xyz
'x,y,z'
loop_
_atom_site_label
_atom_site_type_symbol
_atom_site_fract_x
_atom_site_fract_y
_atom_site_fract_z
Ir1 Ir 0.0000 0.0000 0.0000
Sc1 Sc 0.7500 0.7500 0.7500
Ge1 Ge 0.2500 0.2500 0.2500
```

---

(4)
## Sc2GeIr (PBE-GGA)

Data for crystalline Sc2GeIr at its relaxed geometry.

* space-group type: F-43m
* VASP energy: -7.10 eV/atom

Geometry as CIF:
```
data_Sc2GeIr
_cell_length_a 4.5724
_cell_length_b 4.5724
_cell_length_c 4.5724
_cell_angle_alpha 60.00
_cell_angle_beta 60.00
_cell_angle_gamma 60.00
_symmetry_space_group_name_H-M 'P 1'
_symmetry_Int_Tables_number 1
loop_
_symmetry_equiv_pos_as_xyz
'x,y,z'
loop_
_atom_site_label
_atom_site_type_symbol
_atom_site_fract_x
_atom_site_fract_y
_atom_site_fract_z
Ge1 Ge 0.5000 0.5000 0.5000
Sc1 Sc 0.7500 0.7500 0.7500
Sc2 Sc 0.0000 0.0000 0.0000
Ir1 Ir 0.2500 0.2500 0.2500
```